# 1
VASP calculation (GGA-PBEsol) on Ca2CrCo after structural relaxation.

abc: 3.414 3.414 7.496
angles: 90.00 90.00 90.00
Positions (direct):
Ca (0.000, 0.000, 0.215)
Ca (0.000, 0.000, 0.785)
Cr (0.500, 0.500, 0.500)
Co (0.500, 0.500, 0.000)

Computed properties:
- N(E_F) (states/eV/atom) = 1.1809
- calculated volume (Å³/cell) = 87.4
- distance to the lowest polymorph of the same formula (kJ/mol of atoms) = 24.71

***

# 2
VASP calculation (GGA-PBEsol) on RbBaMn2Be after structural relaxation.

abc: 4.813 4.813 5.731
angles: 90.00 90.00 90.00
Positions (direct):
Rb (0.000, 0.000, 0.000)
Ba (0.500, 0.500, 0.000)
Mn (0.000, 0.500, 0.500)
Mn (0.500, 0.000, 0.500)
Be (0.500, 0.500, 0.500)

Computed properties:
- N(E_F) (states/eV/atom) = 1.0588
- calculated volume (Å³/cell) = 132.8

***

# 3
VASP calculation (GGA-PBEsol) on YTiHg3 after structural relaxation.

abc: 5.068 5.068 5.068
angles: 90.00 90.00 90.00
Positions (direct):
Y (0.000, 0.000, 0.000)
Ti (0.500, 0.500, 0.500)
Hg (0.000, 0.500, 0.500)
Hg (0.500, 0.000, 0.500)
Hg (0.500, 0.500, 0.000)

Computed properties:
- N(E_F) (states/eV/atom) = 1.0709
- calculated volume (Å³/cell) = 130.2

***

M_tot values, unit μB per formula unit, following the record order: 5.24; 7.63; 1.54.
Energy of formation values, unit kJ/mol of atoms, following the record order: 68.4; 102.3; 23.7.